Arrangement one

Compound: HfCu2SeS2
Source: OQMD via LeMat-Bulk
Functional: PBE-GGA
Structure: relaxed

The crystal system is monoclinic.

Unit cell a=9.5037 b=9.5037 c=6.8088 alpha=96.31 beta=96.31 gamma=22.91
Atoms (fractional coordinates):
Cu 0.2974 0.2974 0.0505
Cu 0.9593 0.9593 0.3264
Cu 0.7026 0.7026 0.9495
Cu 0.0407 0.0407 0.6736
S 0.0848 0.0848 0.3518
S 0.9152 0.9152 0.6482
S 0.4188 0.4188 0.1548
S 0.5812 0.5812 0.8452
Hf 0.3556 0.3556 0.4514
Hf 0.6444 0.6444 0.5486
Se 0.7538 0.7538 0.2860
Se 0.2462 0.2462 0.7140

Arrangement two

Compound: HfCu2SeS2
Source: OQMD via LeMat-Bulk
Functional: PBE-GGA
Structure: relaxed

The crystal system is monoclinic.

Unit cell a=9.4687 b=9.4687 c=6.7071 alpha=95.75 beta=95.75 gamma=22.87
Atoms (fractional coordinates):
Cu 0.7012 0.7012 0.4783
Cu 0.9550 0.9550 0.8288
Cu 0.0450 0.0450 0.1712
Cu 0.2988 0.2988 0.5217
Hf 0.6536 0.6536 0.0577
Hf 0.3464 0.3464 0.9423
S 0.5845 0.5845 0.3487
S 0.2442 0.2442 0.2114
S 0.4155 0.4155 0.6513
S 0.7558 0.7558 0.7886
Se 0.9119 0.9119 0.1700
Se 0.0881 0.0881 0.8300

arrangement one ends up most stable, edging out the next structure by 0.012 eV/atom.

Arrangement one

Compound: HfCu2Te2S
Source: OQMD via LeMat-Bulk
Functional: PBE-GGA
Structure: relaxed

The crystal system is monoclinic.

Unit cell a=9.9801 b=9.9801 c=7.1584 alpha=97.61 beta=97.61 gamma=23.08
Atoms (fractional coordinates):
S 0.0836 0.0836 0.3737
S 0.9164 0.9164 0.6263
Te 0.2488 0.2488 0.7112
Te 0.4219 0.4219 0.1190
Te 0.5781 0.5781 0.8810
Te 0.7512 0.7512 0.2888
Hf 0.3619 0.3619 0.4511
Hf 0.6381 0.6381 0.5489
Cu 0.7118 0.7118 0.9242
Cu 0.9590 0.9590 0.3371
Cu 0.0410 0.0410 0.6629
Cu 0.2882 0.2882 0.0758

Arrangement two

Compound: HfCu2Te2S
Source: OQMD via LeMat-Bulk
Functional: PBE-GGA
Structure: relaxed

The crystal system is monoclinic.

Unit cell a=10.3617 b=10.3617 c=7.2163 alpha=101.75 beta=101.75 gamma=22.10
Atoms (fractional coordinates):
S 0.4059 0.4059 0.6873
S 0.5941 0.5941 0.3127
Hf 0.6434 0.6434 0.0389
Hf 0.3566 0.3566 0.9611
Te 0.2502 0.2502 0.2137
Te 0.0730 0.0730 0.7942
Te 0.7498 0.7498 0.7863
Te 0.9270 0.9270 0.2058
Cu 0.7101 0.7101 0.4236
Cu 0.2898 0.2898 0.5764
Cu 0.0524 0.0524 0.1502
Cu 0.9476 0.9476 0.8498

arrangement one ends up most stable, edging out the next structure by 0.023 eV/atom.

Arrangement one

Compound: HfCuTcSb
Source: OQMD via LeMat-Bulk
Functional: PBE-GGA
Structure: relaxed

The crystal system is cubic.

Unit cell a=4.5785 b=4.5785 c=4.5785 alpha=60.00 beta=60.00 gamma=60.00
Atoms (fractional coordinates):
Sb 0.0000 0.0000 0.0000
Tc 0.2500 0.2500 0.2500
Hf 0.5000 0.5000 0.5000
Cu 0.7500 0.7500 0.7500

Arrangement two

Compound: HfCuTcSb
Source: OQMD via LeMat-Bulk
Functional: PBE-GGA
Structure: relaxed

The crystal system is cubic.

Unit cell a=4.6269 b=4.6269 c=4.6269 alpha=60.00 beta=60.00 gamma=60.00
Atoms (fractional coordinates):
Cu 0.7500 0.7500 0.7500
Hf 0.2500 0.2500 0.2500
Sb 0.0000 0.0000 0.0000
Tc 0.5000 0.5000 0.5000

arrangement one ends up most stable, edging out the next structure by 0.294 eV/atom.